# SiBiAu3 PBE-GGA optimized geometry
data_SiBiAu3
_chemical_formula_sum 'Si4 Bi4 Au12'
_cell_length_a 22.9839
_cell_length_b 4.2694
_cell_length_c 4.4248
_cell_angle_alpha 90.00
_cell_angle_beta 100.57
_cell_angle_gamma 90.00
_symmetry_space_group_name_H-M 'C 1 2/m 1'
_symmetry_Int_Tables_number 12
_symmetry_space_group_name_Hall '-C 2y'
loop_
_atom_site_label
_atom_site_fract_x
_atom_site_fract_y
_atom_site_fract_z
_atom_site_occupancy
Si1 0.1484 0.0000 0.3980 1
Bi1 0.0615 0.5000 0.8094 1
Au1 0.0417 0.0000 0.2898 1
Au2 0.1992 0.0000 0.9473 1
Au3 0.2041 0.5000 0.4542 1
# - N(E_F) (states/eV/f.u.) = 1.43
# - total magnetization (μB per atom) = 0.000
# - E_form (uncorrected) (meV/atom) = -6
# - polymorph energy (0 for the lowest one) (meV per atom) = 0